Record 1
La2Cd12Hg5 | PBE | relaxed

Lattice parameters (Å, degrees): 7.756 7.756 7.756 82.91 82.91 82.91
Positions (direct):
La: 0.671 0.671 0.671
La: 0.329 0.329 0.329
Cd: 0.303 0.697 0.000
Cd: 0.697 0.000 0.303
Cd: 0.000 0.303 0.697
Cd: 0.697 0.303 0.000
Cd: 0.303 0.000 0.697
Cd: 0.000 0.697 0.303
Cd: 0.359 0.359 0.832
Cd: 0.359 0.832 0.359
Cd: 0.832 0.359 0.359
Cd: 0.641 0.168 0.641
Cd: 0.641 0.641 0.168
Cd: 0.168 0.641 0.641
Hg: 0.000 0.000 0.500
Hg: 0.000 0.500 0.000
Hg: 0.500 0.000 0.000
Hg: 0.899 0.899 0.899
Hg: 0.101 0.101 0.101

## Properties
**Crystal system**: trigonal
**Space-group type**: R-3m (166)

---

Record 2
LaCdHg | PBE | relaxed

Lattice parameters (Å, degrees): 5.222 5.222 5.222 60.00 60.00 60.00
Positions (direct):
Cd: 0.000 0.000 0.000
Hg: 0.500 0.500 0.500
La: 0.250 0.250 0.250

## Properties
**Crystal system**: cubic
**Space-group type**: F-43m (216)

---

no.,ΔE_f (eV per atom),total energy (eV per formula unit),density of states at the Fermi level (states/eV/f.u.)
1,-0.15,-25.26,4.9
2,-0.06,-6.34,3.1